{"formula": "Co2Hg2SbO6", "functional": "PBE+U", "state": "relaxed", "volume_a3_per_fu": 164.6, "dft_energy_ev_per_cell": -54.38, "lattice_angstrom": [[2.552, -4.394, 0.000], [2.552, 4.394, 0.000], [-1.506, 0.000, 7.341]], "species": ["Co", "Co", "Hg", "Hg", "Sb", "O", "O", "O", "O", "O", "O"], "fractional_positions": [[0.167, 0.833, 0.000], [0.833, 0.167, 0.000], [0.173, 0.827, 0.500], [0.827, 0.173, 0.500], [0.500, 0.500, 0.000], [0.114, 0.114, 0.863], [0.194, 0.540, 0.137], [0.460, 0.806, 0.863], [0.540, 0.194, 0.137], [0.806, 0.460, 0.863], [0.886, 0.886, 0.137]]}